1.
VASP calculation (PBE) on KCoReAu after structural relaxation.

```
4
Lattice="0.000 3.283 3.283 3.283 0.000 3.283 3.283 3.283 0.000" Properties=species:S:1:pos:R:3 pbc="T T T"
Au 4.925 4.925 4.925
Co 1.642 1.642 1.642
K 0.000 0.000 0.000
Re 3.283 3.283 3.283
```

Computed properties:
Energy relative to the lowest polymorph listed for this composition, meV per atom: 0.0
Calculated density, Mg/m³: 11.29
Spin magnetization, μB/cell: 3.782



2.
VASP calculation (PBE) on NbBiN2O after structural relaxation.

```
5
Lattice="-0.627 2.870 3.089 -2.269 -2.485 1.848 3.436 -1.668 1.976" Properties=species:S:1:pos:R:3 pbc="T T T"
Bi -0.319 2.520 2.997
N 0.382 -1.935 1.855
N 1.868 -1.309 4.521
Nb 0.394 -0.788 3.412
O 1.155 0.859 2.574
```

Computed properties:
Uncorrected energy, eV/atom: -7.7559
Calculated density, Mg/m³: 8.17
Spin magnetization, μB/cell: 0.000



3.
VASP calculation (PBE) on GdYSi2Mo2C after structural relaxation.

```
7
Lattice="-2.293 3.608 4.064 -5.146 1.819 2.238 2.977 -6.341 1.561" Properties=species:S:1:pos:R:3 pbc="T T T"
C 0.001 -0.005 0.004
Gd -1.067 -2.153 3.775
Mo -1.284 0.587 1.429
Mo -3.179 -1.503 6.436
Si -5.463 2.593 5.992
Si 1.000 -3.503 1.868
Y -3.395 1.241 4.085
```

Computed properties:
Uncorrected energy, eV/atom: -8.1512
Calculated density, Mg/m³: 6.75
Spin magnetization, μB/cell: 0.003



4.
VASP calculation (PBE) on GdHo2In3CuPt2 after structural relaxation.

```
9
Lattice="3.733 0.000 0.000 0.000 6.716 3.870 0.000 -6.716 3.870" Properties=species:S:1:pos:R:3 pbc="T T T"
Cu 0.000 0.000 0.005
Gd 0.000 0.000 4.562
Ho 0.000 2.756 1.588
Ho 0.000 -2.756 1.588
In 1.867 4.994 2.886
In 1.867 0.000 1.976
In 1.867 -4.994 2.886
Pt 1.867 2.260 3.865
Pt 1.867 -2.260 3.865
```

Computed properties:
Uncorrected energy, eV/atom: -5.0432
Calculated density, Mg/m³: 11.00
Spin magnetization, μB/cell: 0.003



5.
VASP calculation (PBE) on Tb2YAl3Ge2Au after structural relaxation.

```
9
Lattice="4.279 0.000 0.000 0.000 6.128 3.539 0.000 -6.128 3.539" Properties=species:S:1:pos:R:3 pbc="T T T"
Al 2.140 1.454 0.840
Al 2.140 -1.454 0.840
Al 2.140 0.000 5.399
Au 0.000 0.000 0.003
Ge 2.140 2.040 3.537
Ge 2.140 -2.040 3.537
Tb 0.000 2.540 5.610
Tb 0.000 -2.540 5.610
Y 0.000 0.000 2.936
```

Computed properties:
Uncorrected energy, eV/atom: -5.1120
Calculated density, Mg/m³: 7.42
Spin magnetization, μB/cell: 0.011



6.
VASP calculation (PBE) on LiYZnTe3 after structural relaxation.

```
12
Lattice="-1.913 1.714 6.988 1.092 -5.365 -5.046 10.982 -0.769 3.195" Properties=species:S:1:pos:R:3 pbc="T T T"
Li 3.211 -4.081 -1.739
Li 6.950 -0.338 6.876
Te -0.043 -0.859 2.943
Te 1.116 0.854 6.651
Te 3.845 -1.131 4.074
Te 6.316 -3.289 1.064
Te 9.045 -5.274 -1.514
Te 10.204 -3.561 2.195
Y 0.000 0.000 0.000
Y 5.491 -0.385 1.598
Zn 2.265 -1.853 2.049
Zn 7.896 -2.567 3.088
```

Computed properties:
Energy relative to the lowest polymorph listed for this composition, meV per atom: 21.7
Calculated density, Mg/m³: 5.24
Spin magnetization, μB/cell: 0.004



7.
VASP calculation (PBE) on HfSc2 after structural relaxation.

```
6
Lattice="4.867 -2.850 -1.312 -0.209 -5.637 -1.311 0.957 -1.745 -5.438" Properties=species:S:1:pos:R:3 pbc="T T T"
Hf 0.000 0.000 0.000
Hf 1.404 -2.558 -2.015
Sc 3.031 -5.522 -2.319
Sc 3.614 -3.577 -4.383
Sc 1.076 -4.970 -4.382
Sc 3.509 -6.395 -5.038
```

Computed properties:
DFT formation energy, eV/f.u.: 1.3
Calculated density, Mg/m³: 6.49
Spin magnetization, μB/cell: 4.853



8.
VASP calculation (PBE) on ZrInCuRe after structural relaxation.

```
4
Lattice="-1.370 0.009 4.441 -0.982 4.018 2.121 -4.400 1.047 1.073" Properties=species:S:1:pos:R:3 pbc="T T T"
Cu -5.064 3.805 5.726
In 0.000 0.000 0.000
Re -3.376 2.537 3.818
Zr -1.688 1.268 1.909
```

Computed properties:
Energy relative to the lowest polymorph listed for this composition, meV per atom: 208.7
Calculated density, Mg/m³: 10.66
Spin magnetization, μB/cell: 0.000



9.
VASP calculation (PBE) on Sc2Ag2C3 after structural relaxation.

```
7
Lattice="-4.982 -1.139 -2.487 -3.355 -4.046 -2.163 -1.391 -0.202 5.172" Properties=species:S:1:pos:R:3 pbc="T T T"
Ag -1.614 -0.761 1.277
Ag -8.114 -4.626 -0.754
C 0.000 0.000 0.000
C -6.693 -3.999 -2.265
C -3.035 -1.388 2.788
Sc -3.318 -1.982 -1.112
Sc -6.409 -3.406 1.635
```

Computed properties:
Uncorrected energy, eV/atom: -6.0535
Calculated density, Mg/m³: 5.94
Spin magnetization, μB/cell: 0.000



10.
VASP calculation (PBE) on SmGaAs after structural relaxation.

```
3
Lattice="0.000 3.431 3.431 3.431 0.000 3.431 3.431 3.431 0.000" Properties=species:S:1:pos:R:3 pbc="T T T"
As 1.715 1.715 1.715
Ga 5.146 5.146 5.146
Sm 0.000 0.000 0.000
```

Computed properties:
Energy relative to the lowest polymorph listed for this composition, meV per atom: 0.0
Calculated density, Mg/m³: 6.07
Spin magnetization, μB/cell: 0.001



11.
VASP calculation (PBE) on YFeSiPd after structural relaxation.

```
4
Lattice="0.000 3.186 3.186 3.186 0.000 3.186 3.186 3.186 0.000" Properties=species:S:1:pos:R:3 pbc="T T T"
Fe 4.779 4.779 4.779
Pd 1.593 1.593 1.593
Si 0.000 0.000 0.000
Y 3.186 3.186 3.186
```

Computed properties:
Energy relative to the lowest polymorph listed for this composition, meV per atom: 0.0
Calculated density, Mg/m³: 7.17
Spin magnetization, μB/cell: 1.155



12.
VASP calculation (PBE) on Sr2PrAl7Ag2 after structural relaxation.

```
12
Lattice="2.866 1.654 9.078 -2.866 1.654 9.078 0.000 -3.309 9.078" Properties=species:S:1:pos:R:3 pbc="T T T"
Ag 0.000 0.000 9.152
Ag 0.000 0.000 18.082
Al 0.000 1.685 11.263
Al 1.459 0.842 15.971
Al -1.459 0.842 15.971
Al 0.000 0.000 13.617
Al 1.459 -0.842 11.263
Al -1.459 -0.842 11.263
Al 0.000 -1.685 15.971
Pr 0.000 0.000 0.000
Sr 0.000 0.000 3.883
Sr 0.000 0.000 23.352
```

Computed properties:
Uncorrected energy, eV/atom: -3.6435
Calculated density, Mg/m³: 4.63
Spin magnetization, μB/cell: 0.004



13.
VASP calculation (PBE) on Rb2Ag2OsS4 after structural relaxation.

```
18
Lattice="-0.715 9.673 -7.166 0.284 -12.056 0.100 -5.537 0.755 3.018" Properties=species:S:1:pos:R:3 pbc="T T T"
Ag -1.572 -1.614 -2.575
Ag -1.413 -5.066 -1.420
Ag -4.555 3.438 -2.629
Ag -4.396 -0.015 -1.474
Os -1.728 1.781 -3.710
Os -4.240 -3.410 -0.339
Rb -1.907 5.687 -5.016
Rb -1.161 -10.548 0.413
Rb -4.807 8.919 -4.462
Rb -4.061 -7.316 0.967
S -0.426 -3.062 -4.303
S -1.371 2.397 -5.845
S -2.192 3.524 -2.363
S -2.641 -1.822 -0.292
S -3.327 0.194 -3.756
S -3.776 -5.152 -1.686
S -4.597 -4.025 1.797
S -5.542 1.433 0.254
```

Computed properties:
Uncorrected energy, eV/atom: -4.3179
Calculated density, Mg/m³: 4.79
Spin magnetization, μB/cell: 0.000



14.
VASP calculation (PBE) on Dy5Er3 after structural relaxation.

```
8
Lattice="-6.707 -0.940 -2.410 5.572 -2.431 -3.837 -0.281 -4.889 2.689" Properties=species:S:1:pos:R:3 pbc="T T T"
Er 2.644 -3.660 -0.576
Er -0.705 -4.130 -1.779
Er 2.077 -5.344 -3.695
Dy 0.739 -0.967 -1.681
Dy -2.614 -1.437 -2.886
Dy 3.525 -2.182 -3.599
Dy 0.172 -2.652 -4.804
Dy -0.140 -2.444 1.344
```

Computed properties:
DFT formation energy, eV/f.u.: 0.0
Calculated density, Mg/m³: 8.73
Spin magnetization, μB/cell: 0.176



15.
VASP calculation (PBE) on Li2NbOs after structural relaxation.

```
4
Lattice="2.625 2.107 2.747 -1.352 0.915 4.026 1.720 -2.093 3.397" Properties=species:S:1:pos:R:3 pbc="T T T"
Li 0.000 0.000 0.000
Li 2.244 0.697 7.628
Nb 1.496 0.465 5.085
Os 0.748 0.232 2.543
```

Computed properties:
Uncorrected energy, eV/atom: -6.1284
Calculated density, Mg/m³: 8.50
Spin magnetization, μB/cell: 0.085



16.
VASP calculation (PBE) on NaCu3Te4W after structural relaxation.

```
9
Lattice="6.293 0.000 0.000 0.000 6.293 0.000 0.000 0.000 6.293" Properties=species:S:1:pos:R:3 pbc="T T T"
Cu 3.147 3.147 0.000
Cu 3.147 0.000 3.147
Cu 0.000 3.147 3.147
Na 0.000 0.000 0.000
Te 1.645 1.645 1.645
Te 4.648 4.648 1.645
Te 4.648 1.645 4.648
Te 1.645 4.648 4.648
W 3.147 3.147 3.147
```

Computed properties:
Uncorrected energy, eV/atom: -4.1756
Calculated density, Mg/m³: 6.05
Spin magnetization, μB/cell: 2.004



17.
VASP calculation (PBE) on Cu2GeS3 after structural relaxation.

```
12
Lattice="-4.426 2.932 -3.776 -1.872 -4.508 4.315 -0.737 4.413 4.291" Properties=species:S:1:pos:R:3 pbc="T T T"
Cu -1.741 2.671 0.418
Cu -0.901 0.224 3.079
Cu -4.512 0.649 2.022
Cu -0.632 3.785 3.680
Ge -4.206 4.228 2.593
Ge -3.354 1.748 5.290
S -1.474 1.029 -1.192
S -0.629 -1.433 1.484
S -4.224 -0.996 0.418
S -0.363 2.176 2.116
S -3.939 2.631 1.040
S -3.087 0.151 3.737
```

Computed properties:
Uncorrected energy, eV/atom: -4.3080
Calculated density, Mg/m³: 4.31



18.
VASP calculation (PBE) on GaAsAuO after structural relaxation.

```
8
Lattice="3.099 0.000 0.000 0.000 6.867 0.000 0.000 0.000 6.838" Properties=species:S:1:pos:R:3 pbc="T T T"
As 0.000 5.927 2.236
As 0.000 0.940 5.655
Au 1.549 2.090 0.429
Au 1.549 4.777 3.848
Ga 0.000 1.364 3.171
Ga 0.000 5.504 6.590
O 1.549 2.339 2.739
O 1.549 4.528 6.158
```

Computed properties:
Energy relative to the lowest polymorph listed for this composition, meV per atom: 5.7
Calculated density, Mg/m³: 8.16



19.
VASP calculation (PBE) on SmMgIn after structural relaxation.

```
9
Lattice="7.631 0.000 0.000 -3.815 6.608 0.000 0.000 0.000 4.677" Properties=species:S:1:pos:R:3 pbc="T T T"
In 1.894 0.000 0.000
In -0.947 1.641 0.000
In 2.868 4.968 0.000
Mg 3.815 2.203 0.000
Mg 0.000 4.406 0.000
Mg 0.000 0.000 2.338
Sm 4.383 0.000 2.338
Sm 1.624 2.813 2.338
Sm -2.191 3.796 2.338
```

Computed properties:
Uncorrected energy, eV/atom: -3.2714
Calculated density, Mg/m³: 6.11
Spin magnetization, μB/cell: 0.055



20.
VASP calculation (PBE) on Li2MgAl2AgAu2 after structural relaxation.

```
8
Lattice="-4.010 -1.976 0.518 1.698 -3.858 -1.577 1.613 -1.716 5.934" Properties=species:S:1:pos:R:3 pbc="T T T"
Ag 0.000 0.000 0.000
Al -1.156 -2.917 -0.529
Al 0.806 -0.858 2.967
Au -1.576 -1.445 1.838
Au 2.033 -3.188 3.567
Li 1.229 -2.333 0.610
Li -0.772 -2.299 4.795
Mg -0.350 -3.775 2.438
```

Computed properties:
Uncorrected energy, eV/atom: -3.1921
Calculated density, Mg/m³: 7.63